Below is an optimized crystal structure of Na12Te2Se5, with properties calculated at the PBE-GGA level.

Summary:
raw formation energy = -16.90 eV per formula unit

```
data_Na12Te2Se5
_symmetry_space_group_name_H-M 'C 1 2/m 1'
_symmetry_Int_Tables_number 12
_cell_length_a 16.5942
_cell_length_b 7.1035
_cell_length_c 10.0756
_cell_angle_alpha 90.00
_cell_angle_beta 108.04
_cell_angle_gamma 90.00
loop_
_symmetry_equiv_pos_as_xyz
'x,y,z'
'-x,-y,-z'
'-x,y,-z'
'x,-y,z'
'x+1/2,y+1/2,z'
'-x+1/2,-y+1/2,-z'
'-x+1/2,y+1/2,-z'
'x+1/2,-y+1/2,z'
loop_
_atom_site_label
_atom_site_fract_x
_atom_site_fract_y
_atom_site_fract_z
Na1 0.0095 0.0000 0.2489
Na2 0.0732 0.5000 0.7849
Na3 0.1575 0.2515 0.5528
Na4 0.1905 0.2303 0.1155
Te1 0.0000 0.3022 0.0000
Se1 0.0000 0.5000 0.5000
Se2 0.1740 0.0000 0.8312
Se3 0.1945 0.0000 0.3524
```